DFT (PBE) results for ErTlIn2 after structural relaxation.

Summary:
Distance to the lowest polymorph of the same formula ... 54 meV/atom
Calculated formation energy ... -1.0 eV per formula unit
Symmetry ... No. 139
Electronic total energy ... -3.359 eV per atom

abc: 4.518 4.518 5.980
angles: 112.20 112.20 90.00
Fractional coordinates of all 4 atoms:
Tl (0.500, 0.500, 0.000)
Er (0.000, 0.000, 0.000)
In (0.250, 0.750, 0.500)
In (0.750, 0.250, 0.500)



DFT (PBE) results for CrNi7H6 after structural relaxation.

Summary:
Symmetry ... No. 146
Electronic total energy ... -5.000 eV per atom

abc: 4.467 4.467 6.811
angles: 70.86 70.86 60.00
Site moments in Bohr magnetons follow the coordinates.
Fractional coordinates of all 14 atoms:
H (0.057, 0.408, 0.817)  -0.01
H (0.594, 0.280, 0.197)  -0.01
H (0.929, 0.594, 0.197)  -0.01
H (0.280, 0.929, 0.197)  -0.01
H (0.408, 0.718, 0.817)  -0.01
H (0.718, 0.057, 0.817)  -0.01
Ni (0.441, 0.111, 0.670)  0.14
Ni (0.665, 0.665, 0.006)  0.27
Ni (0.111, 0.778, 0.670)  0.14
Ni (0.217, 0.552, 0.343)  0.14
Ni (0.888, 0.217, 0.343)  0.14
Ni (0.778, 0.441, 0.670)  0.14
Ni (0.552, 0.888, 0.343)  0.14
Cr (0.998, 0.998, 0.006)  2.78



DFT (PBE) results for HgGeSbPb after structural relaxation.

Summary:
E_form (uncorrected) ... 0.22 eV/atom
Symmetry ... No. 216
Electronic total energy ... -2.964 eV per atom

abc: 5.293 5.293 5.293
angles: 60.00 60.00 60.00
Fractional coordinates of all 4 atoms:
Ge (0.250, 0.250, 0.250)
Hg (0.750, 0.750, 0.750)
Pb (0.500, 0.500, 0.500)
Sb (0.000, 0.000, 0.000)



DFT (PBE) results for SrGe2Pt4 after structural relaxation.

Summary:
Distance to the lowest polymorph of the same formula ... 0 meV/atom
Calculated formation energy ... -4.7 eV per formula unit
Symmetry ... No. 136
Electronic total energy ... -5.685 eV per atom

abc: 4.008 7.972 7.972
angles: 90.00 90.00 90.00
Fractional coordinates of all 14 atoms:
Sr (0.500, 0.000, 0.000)
Sr (0.000, 0.500, 0.500)
Pt (0.000, 0.919, 0.668)
Pt (0.000, 0.081, 0.332)
Pt (0.500, 0.832, 0.419)
Pt (0.500, 0.581, 0.168)
Pt (0.000, 0.668, 0.919)
Pt (0.500, 0.168, 0.581)
Pt (0.000, 0.332, 0.081)
Pt (0.500, 0.419, 0.832)
Ge (0.000, 0.775, 0.225)
Ge (0.000, 0.225, 0.775)
Ge (0.500, 0.275, 0.275)
Ge (0.500, 0.725, 0.725)



DFT (PBE) results for Sr2ZrIr after structural relaxation.

Summary:
Distance to the lowest polymorph of the same formula ... 868 meV/atom
Calculated formation energy ... 2.7 eV per formula unit
Symmetry ... No. 225
Electronic total energy ... -4.522 eV per atom

abc: 5.361 5.361 5.361
angles: 60.00 60.00 60.00
Site moments in Bohr magnetons follow the coordinates.
Fractional coordinates of all 4 atoms:
Zr (0.000, 0.000, 0.000)  1.53
Sr (0.250, 0.250, 0.250)  0.14
Sr (0.750, 0.750, 0.750)  0.14
Ir (0.500, 0.500, 0.500)  -0.09



DFT (PBE) results for Pm4SmCo after structural relaxation.

Summary:
Distance to the lowest polymorph of the same formula ... 0 meV/atom
Calculated formation energy ... 0.1 eV per formula unit
Symmetry ... No. 12
Electronic total energy ... -5.128 eV per atom

abc: 5.997 7.363 9.625
angles: 112.49 108.17 90.00
Fractional coordinates of all 12 atoms:
Pm (0.382, 0.633, 0.764)
Pm (0.618, 0.367, 0.236)
Pm (0.618, 0.869, 0.236)
Pm (0.382, 0.131, 0.764)
Pm (0.000, 0.766, 0.000)
Pm (0.826, 0.326, 0.651)
Pm (0.174, 0.674, 0.349)
Pm (0.000, 0.234, 0.000)
Sm (0.804, 0.803, 0.606)
Sm (0.196, 0.197, 0.394)
Co (0.687, 0.499, 0.999)
Co (0.313, 0.501, 0.001)



electronic total energy of number 1 (ErTlIn2)? -3.359 eV per atom